A plane-wave DFT calculation with PBE was carried out for crystalline Ag2Te2I at its relaxed geometry.

**ΔE_f (raw)**: 0.14 eV per atom
**DOS(E_F)**: 0.59 states/eV per atom
**Electronic total energy**: -2.572 eV/atom
**Symmetry**: I4/mmm (139)

```
Ag2Te2I
1.0
-2.178 2.178 7.557
2.178 -2.178 7.557
2.178 2.178 -7.557
Ag Te I
2 2 1
direct
0.094 0.094 0.000
0.906 0.906 0.000
0.250 0.750 0.500
0.750 0.250 0.500
0.500 0.500 0.000
```